A plane-wave DFT calculation with PBE-GGA was carried out for NdErCo after structural relaxation.

a b c (Å): 3.7391 6.8923 6.1034
angles (deg): 89.17 90.00 89.99
Closest atoms and distances in Å follow each position.
Positions (direct):
1 Nd 0.8276 0.3100 0.3131  3 Co 2.82-3.08
2 Nd 0.3274 0.6887 0.5930  3 Co 2.82-3.08
3 Er 0.3276 0.1892 0.8037  3 Co 2.70-2.86
4 Er 0.8274 0.8095 0.1024  3 Co 2.70-2.86
5 Co 0.8275 0.4694 0.8386  2 Co 2.37
6 Co 0.3275 0.5293 0.0675  2 Co 2.37

Calculated values
total DFT energy (no corrections) = -5.546 eV/atom
formation enthalpy at 0 K = -0.0675 eV/atom
offset from the most stable computed form = 0.044 eV/atom
space-group type = P2_1/m, No. 11